Entry from Alexandria: ReSiPd3 after structural relaxation (PBE-GGA).

Values from the calculation:
The volume is 18.00 A^3/atom. The value obtained for the raw formation energy is 0.76 eV/atom. The energy above the most stable polymorph in this dataset is 0 meV/atom. Its energy is -5.927 eV/atom.

Geometry as CIF:
```
data_ReSiPd3
_symmetry_space_group_name_H-M 'P 1'
_symmetry_Int_Tables_number 1
_cell_length_a 4.481
_cell_length_b 4.481
_cell_length_c 4.481
_cell_angle_alpha 90.00
_cell_angle_beta 90.00
_cell_angle_gamma 90.00
loop_
_symmetry_equiv_pos_as_xyz
'x,y,z'
loop_
_atom_site_label
_atom_site_type_symbol
_atom_site_fract_x
_atom_site_fract_y
_atom_site_fract_z
Pd1 Pd 0.500 0.000 0.000
Si1 Si 0.000 0.000 0.000
Pd2 Pd 0.000 0.000 0.500
Pd3 Pd 0.000 0.500 0.000
Re1 Re 0.500 0.500 0.500
```


Entry from Alexandria: DyZrCd after structural relaxation (PBE-GGA).

Values from the calculation:
The volume is 25.06 A^3/atom. The value obtained for the energy relative to the elements is -0.1253 eV/atom. The energy above the most stable polymorph in this dataset is 0 meV/atom. Its energy is -4.814 eV/atom.

Geometry as CIF:
```
data_DyZrCd
_symmetry_space_group_name_H-M 'P 1'
_symmetry_Int_Tables_number 1
_cell_length_a 3.396
_cell_length_b 3.396
_cell_length_c 6.948
_cell_angle_alpha 104.15
_cell_angle_beta 104.15
_cell_angle_gamma 90.00
loop_
_symmetry_equiv_pos_as_xyz
'x,y,z'
loop_
_atom_site_label
_atom_site_type_symbol
_atom_site_fract_x
_atom_site_fract_y
_atom_site_fract_z
Dy1 Dy 0.334 0.334 0.668
Cd1 Cd 0.660 0.660 0.319
Zr1 Zr 0.006 0.006 0.012
```


Entry from Alexandria: PaAl2Ge2 after structural relaxation (PBE-GGA).

Values from the calculation:
The volume is 19.27 A^3/atom. The value obtained for the energy relative to the elements is -0.2676 eV/atom. Its energy is -5.511 eV/atom.

Geometry as CIF:
```
data_PaAl2Ge2
_symmetry_space_group_name_H-M 'P 1'
_symmetry_Int_Tables_number 1
_cell_length_a 4.079
_cell_length_b 4.084
_cell_length_c 11.746
_cell_angle_alpha 90.00
_cell_angle_beta 100.00
_cell_angle_gamma 90.00
loop_
_symmetry_equiv_pos_as_xyz
'x,y,z'
loop_
_atom_site_label
_atom_site_type_symbol
_atom_site_fract_x
_atom_site_fract_y
_atom_site_fract_z
Al1 Al 0.957 0.250 0.913
Pa1 Pa 0.349 0.250 0.697
Ge1 Ge 0.869 0.750 0.737
Ge2 Ge 0.251 0.750 0.501
Al2 Al 0.542 0.250 0.085
Al3 Al 0.043 0.750 0.087
Pa2 Pa 0.651 0.750 0.303
Ge3 Ge 0.749 0.250 0.499
Ge4 Ge 0.131 0.250 0.263
Al4 Al 0.458 0.750 0.915
```


Entry from Alexandria: LiScRu3 after structural relaxation (PBE-GGA).

Values from the calculation:
The volume is 14.75 A^3/atom. The value obtained for the energy relative to the elements is 0.6058 eV/atom. Its energy is -6.609 eV/atom.

Geometry as CIF:
```
data_LiScRu3
_symmetry_space_group_name_H-M 'P 1'
_symmetry_Int_Tables_number 1
_cell_length_a 4.193
_cell_length_b 4.193
_cell_length_c 4.193
_cell_angle_alpha 90.00
_cell_angle_beta 90.00
_cell_angle_gamma 90.00
loop_
_symmetry_equiv_pos_as_xyz
'x,y,z'
loop_
_atom_site_label
_atom_site_type_symbol
_atom_site_fract_x
_atom_site_fract_y
_atom_site_fract_z
Sc1 Sc 0.500 0.500 0.500
Ru1 Ru 0.000 0.000 0.500
Ru2 Ru 0.000 0.500 0.000
Li1 Li 0.000 0.000 0.000
Ru3 Ru 0.500 0.000 0.000
```


Entry from Alexandria: PrHo5In3 after structural relaxation (PBE-GGA).

Values from the calculation:
The volume is 28.47 A^3/atom. The value obtained for the energy relative to the elements is -0.3463 eV/atom. Its energy is -4.333 eV/atom.

Geometry as CIF:
```
data_PrHo5In3
_symmetry_space_group_name_H-M 'P 1'
_symmetry_Int_Tables_number 1
_cell_length_a 6.741
_cell_length_b 9.369
_cell_length_c 9.369
_cell_angle_alpha 120.00
_cell_angle_beta 90.00
_cell_angle_gamma 90.00
loop_
_symmetry_equiv_pos_as_xyz
'x,y,z'
loop_
_atom_site_label
_atom_site_type_symbol
_atom_site_fract_x
_atom_site_fract_y
_atom_site_fract_z
In1 In 0.750 0.659 0.000
In2 In 0.250 0.659 0.659
In3 In 0.250 0.000 0.341
Ho1 Ho 0.750 0.000 0.330
In4 In 0.750 0.341 0.341
Ho2 Ho 0.500 0.333 0.667
Ho3 Ho 0.000 0.667 0.333
In5 In 0.250 0.341 0.000
Ho4 Ho 0.250 0.670 0.000
Ho5 Ho 0.000 0.333 0.667
Pr1 Pr 0.000 0.000 0.000
Ho6 Ho 0.500 0.667 0.333
In6 In 0.750 0.000 0.659
Ho7 Ho 0.750 0.670 0.670
Ho8 Ho 0.250 0.000 0.670
Pr2 Pr 0.500 0.000 0.000
Ho9 Ho 0.250 0.330 0.330
Ho10 Ho 0.750 0.330 0.000
```


Entry from Alexandria: CaSnS2 after structural relaxation (PBE-GGA).

Values from the calculation:
The volume is 32.86 A^3/atom. The value obtained for the raw formation energy is -1.02 eV/atom. Its energy is -4.589 eV/atom.

Geometry as CIF:
```
data_CaSnS2
_symmetry_space_group_name_H-M 'P 1'
_symmetry_Int_Tables_number 1
_cell_length_a 6.316
_cell_length_b 6.316
_cell_length_c 7.961
_cell_angle_alpha 66.63
_cell_angle_beta 66.63
_cell_angle_gamma 90.00
loop_
_symmetry_equiv_pos_as_xyz
'x,y,z'
loop_
_atom_site_label
_atom_site_type_symbol
_atom_site_fract_x
_atom_site_fract_y
_atom_site_fract_z
S1 S 0.615 0.125 0.250
Sn1 Sn 0.000 0.000 0.000
S2 S 0.875 0.865 0.750
S3 S 0.375 0.385 0.750
S4 S 0.135 0.625 0.250
Ca1 Ca 0.500 0.500 0.000
Sn2 Sn 0.750 0.250 0.500
Ca2 Ca 0.250 0.750 0.500
```


Entry from Alexandria: TlRhW2 after structural relaxation (PBE-GGA).

Values from the calculation:
The volume is 17.12 A^3/atom. The value obtained for the energy relative to the elements is 0.5569 eV/atom. The energy above the most stable polymorph in this dataset is 202 meV/atom. Its energy is -8.349 eV/atom.

Geometry as CIF:
```
data_TlRhW2
_symmetry_space_group_name_H-M 'P 1'
_symmetry_Int_Tables_number 1
_cell_length_a 4.965
_cell_length_b 4.965
_cell_length_c 5.132
_cell_angle_alpha 81.15
_cell_angle_beta 81.15
_cell_angle_gamma 33.27
loop_
_symmetry_equiv_pos_as_xyz
'x,y,z'
loop_
_atom_site_label
_atom_site_type_symbol
_atom_site_fract_x
_atom_site_fract_y
_atom_site_fract_z
Tl1 Tl 0.244 0.244 0.265
Rh1 Rh 0.488 0.488 0.505
W1 W 0.761 0.761 0.759
W2 W 0.007 0.007 0.970
```


Entry from Alexandria: Pm4Sm2Th after structural relaxation (PBE-GGA).

Values from the calculation:
The volume is 34.06 A^3/atom. The value obtained for the energy relative to the elements is 0.0368 eV/atom. The energy above the most stable polymorph in this dataset is 0 meV/atom. Its energy is -5.086 eV/atom.

Geometry as CIF:
```
data_Pm4Sm2Th
_symmetry_space_group_name_H-M 'P 1'
_symmetry_Int_Tables_number 1
_cell_length_a 3.647
_cell_length_b 3.649
_cell_length_c 20.802
_cell_angle_alpha 95.20
_cell_angle_beta 90.00
_cell_angle_gamma 119.98
loop_
_symmetry_equiv_pos_as_xyz
'x,y,z'
loop_
_atom_site_label
_atom_site_type_symbol
_atom_site_fract_x
_atom_site_fract_y
_atom_site_fract_z
Pm1 Pm 0.909 0.817 0.953
Pm2 Pm 0.431 0.861 0.525
Pm3 Pm 0.000 0.001 0.239
Sm1 Sm 0.710 0.419 0.381
Th1 Th 0.811 0.623 0.667
Pm4 Pm 0.524 0.049 0.808
Sm2 Sm 0.617 0.234 0.096
```


Entry from Alexandria: ZrMn2Os after structural relaxation (PBE-GGA).

Values from the calculation:
The volume is 16.76 A^3/atom. The value obtained for the energy relative to the elements is 0.4170 eV/atom. The energy above the most stable polymorph in this dataset is 423 meV/atom. Its energy is -9.112 eV/atom.

Geometry as CIF:
```
data_ZrMn2Os
_symmetry_space_group_name_H-M 'P 1'
_symmetry_Int_Tables_number 1
_cell_length_a 7.062
_cell_length_b 7.062
_cell_length_c 5.671
_cell_angle_alpha 51.49
_cell_angle_beta 51.49
_cell_angle_gamma 90.00
loop_
_symmetry_equiv_pos_as_xyz
'x,y,z'
loop_
_atom_site_label
_atom_site_type_symbol
_atom_site_fract_x
_atom_site_fract_y
_atom_site_fract_z
Mn1 Mn 0.663 0.125 0.250
Mn2 Mn 0.087 0.625 0.250
Os1 Os 0.000 0.000 0.000
Zr1 Zr 0.500 0.500 0.000
Zr2 Zr 0.250 0.750 0.500
Mn3 Mn 0.875 0.913 0.750
Mn4 Mn 0.375 0.337 0.750
Os2 Os 0.750 0.250 0.500
```


Entry from Alexandria: Ho2TmMg4 after structural relaxation (PBE-GGA).

Values from the calculation:
The volume is 29.37 A^3/atom. The value obtained for the energy relative to the elements is 0.1507 eV/atom. The energy above the most stable polymorph in this dataset is 0 meV/atom. Its energy is -2.707 eV/atom.

Geometry as CIF:
```
data_Ho2TmMg4
_symmetry_space_group_name_H-M 'P 1'
_symmetry_Int_Tables_number 1
_cell_length_a 5.374
_cell_length_b 5.374
_cell_length_c 8.069
_cell_angle_alpha 109.45
_cell_angle_beta 109.45
_cell_angle_gamma 90.00
loop_
_symmetry_equiv_pos_as_xyz
'x,y,z'
loop_
_atom_site_label
_atom_site_type_symbol
_atom_site_fract_x
_atom_site_fract_y
_atom_site_fract_z
Ho1 Ho 0.751 0.751 0.501
Ho2 Ho 0.249 0.249 0.499
Mg1 Mg 0.617 0.117 0.234
Mg2 Mg 0.117 0.617 0.234
Mg3 Mg 0.383 0.883 0.766
Tm1 Tm 0.000 0.000 0.000
Mg4 Mg 0.883 0.383 0.766
```


Entry from Alexandria: Tc2Mo6W after structural relaxation (PBE-GGA).

Values from the calculation:
The volume is 15.82 A^3/atom. The value obtained for the energy relative to the elements is 0.1667 eV/atom. Its energy is -10.797 eV/atom.

Geometry as CIF:
```
data_Tc2Mo6W
_symmetry_space_group_name_H-M 'P 1'
_symmetry_Int_Tables_number 1
_cell_length_a 3.099
_cell_length_b 6.922
_cell_length_c 7.558
_cell_angle_alpha 62.74
_cell_angle_beta 85.91
_cell_angle_gamma 81.04
loop_
_symmetry_equiv_pos_as_xyz
'x,y,z'
loop_
_atom_site_label
_atom_site_type_symbol
_atom_site_fract_x
_atom_site_fract_y
_atom_site_fract_z
Mo1 Mo 0.665 0.666 0.000
Mo2 Mo 0.335 0.334 0.000
Mo3 Mo 0.169 0.504 0.331
Mo4 Mo 0.831 0.496 0.669
Mo5 Mo 0.831 0.165 0.331
Mo6 Mo 0.169 0.835 0.669
W1 W 0.000 0.000 0.000
Tc1 Tc 0.500 0.164 0.673
Tc2 Tc 0.500 0.836 0.327
```


Entry from Alexandria: InO after structural relaxation (PBE-GGA).

Values from the calculation:
The volume is 17.98 A^3/atom. The value obtained for the raw formation energy is -1.01 eV/atom. Its energy is -4.857 eV/atom.

Geometry as CIF:
```
data_InO
_symmetry_space_group_name_H-M 'P 1'
_symmetry_Int_Tables_number 1
_cell_length_a 3.688
_cell_length_b 3.688
_cell_length_c 6.105
_cell_angle_alpha 90.00
_cell_angle_beta 90.00
_cell_angle_gamma 120.00
loop_
_symmetry_equiv_pos_as_xyz
'x,y,z'
loop_
_atom_site_label
_atom_site_type_symbol
_atom_site_fract_x
_atom_site_fract_y
_atom_site_fract_z
O1 O 0.667 0.333 0.854
O2 O 0.333 0.667 0.354
In1 In 0.667 0.333 0.228
In2 In 0.333 0.667 0.728
```